(1)
First-principles (PBE) data for crystalline TmZrPa2N6 at its relaxed geometry, as listed in the Alexandria database.

The total magnetic moment is 0.00 μB per formula unit. For the uncorrected formation energy, the calculation gives -1445 meV per atom.

Lattice parameters (Å, degrees): 5.9912 5.9912 5.9912 58.31 58.31 58.31
With the nearest neighbours (Å) after each atom.
Atoms (fractional coordinates):
1 Tm 0.0000 0.0000 0.0000  6 N 2.29-2.45
2 Zr 0.4965 0.4965 0.4965  6 N 2.17-2.33
3 Pa 0.2775 0.2775 0.2775  6 N 2.29-2.31
4 Pa 0.7785 0.7785 0.7785  6 N 2.25-2.33
5 N 0.0978 0.6632 0.3962  2 Pa 2.25-2.31, 1 Tm 2.29, 1 Zr 2.33
6 N 0.1841 0.5921 0.8737  1 Zr 2.17, 2 Pa 2.29-2.33
7 N 0.3962 0.0978 0.6632  2 Pa 2.25-2.31, 1 Tm 2.29, 1 Zr 2.33
8 N 0.5921 0.8737 0.1841  1 Zr 2.17, 2 Pa 2.29-2.33
9 N 0.6632 0.3962 0.0978  2 Pa 2.25-2.31, 1 Tm 2.29, 1 Zr 2.33
10 N 0.8737 0.1841 0.5921  1 Zr 2.17, 2 Pa 2.29-2.33

(2)
First-principles (PBE) data for crystalline NaSn2Pb2 at its relaxed geometry, as listed in the Alexandria database.

The total magnetic moment is 0.00 μB per formula unit. The value obtained for the energy above the most stable polymorph in this dataset is 6.19 kJ/mol of atoms. For the formation energy, the calculation gives 0.0037 eV per atom.

Lattice parameters (Å, degrees): 4.9567 4.9567 13.9379 90.00 90.00 90.00
With the nearest neighbours (Å) after each atom.
Atoms (fractional coordinates):
1 Na 0.0000 0.0000 0.0000  8 Sn 3.80
2 Na 0.5000 0.5000 0.5000  8 Sn 3.80
3 Sn 0.0000 0.0000 0.3954  1 Sn 2.92, 4 Pb 3.20
4 Sn 0.0000 0.0000 0.6046  1 Sn 2.92, 4 Pb 3.20
5 Sn 0.5000 0.5000 0.1046  1 Sn 2.92, 4 Pb 3.20
6 Sn 0.5000 0.5000 0.8954  1 Sn 2.92, 4 Pb 3.20
7 Pb 0.0000 0.5000 0.2500  4 Sn 3.20, 4 Pb 3.50
8 Pb 0.0000 0.5000 0.7500  4 Sn 3.20, 4 Pb 3.50
9 Pb 0.5000 0.0000 0.2500  4 Sn 3.20, 4 Pb 3.50
10 Pb 0.5000 0.0000 0.7500  4 Sn 3.20, 4 Pb 3.50

(3)
First-principles (PBE) data for crystalline YRe2 at its relaxed geometry, as listed in the Alexandria database.

The total magnetic moment is 0.00 μB per formula unit. For the formation energy, the calculation gives 0.4078 eV per atom.

Lattice parameters (Å, degrees): 3.6048 3.6048 5.0408 90.00 90.00 90.00
With the nearest neighbours (Å) after each atom.
Atoms (fractional coordinates):
1 Y 0.0000 0.0000 0.0000  8 Re 3.10
2 Re 0.0000 0.5000 0.5000  4 Re 2.55
3 Re 0.5000 0.0000 0.5000  4 Re 2.55